# 1
# CuTcS2

CuTcS2 after structural relaxation (PBE, Alexandria).

Properties
Space-group type   R-3m, No. 166
Magnetization   0.000 μB per formula unit
Relative energy among the computed polymorphs   483 meV/atom
Formation energy without anion corrections   0.292 eV per atom
E_tot   -5.387 eV per atom

a = 3.1143 Å, b = 3.1143 Å, c = 22.6081 Å
α = 90.00°, β = 90.00°, γ = 120.00°
Closest atoms and distances in Å follow each position.
Positions (direct):
Cu: 0.0000 0.0000 0.0000  6 S 2.36
Cu: 0.3333 0.6667 0.6667  6 S 2.36
Cu: 0.6667 0.3333 0.3333  6 S 2.36
Tc: 0.0000 0.0000 0.5000  2 S 2.24
Tc: 0.3333 0.6667 0.1667  2 S 2.24
Tc: 0.6667 0.3333 0.8333  2 S 2.24
S: 0.0000 0.0000 0.4009  1 Tc 2.24, 3 Cu 2.36
S: 0.0000 0.0000 0.5991  1 Tc 2.24, 3 Cu 2.36
S: 0.3333 0.6667 0.0676  1 Tc 2.24, 3 Cu 2.36
S: 0.3333 0.6667 0.2657  1 Tc 2.24, 3 Cu 2.36
S: 0.6667 0.3333 0.7343  1 Tc 2.24, 3 Cu 2.36
S: 0.6667 0.3333 0.9324  1 Tc 2.24, 3 Cu 2.36

---

# 2
# Sr3MnNb

Sr3MnNb after structural relaxation (PBE, Alexandria).

Properties
Space-group type   Pm-3m, No. 221
Magnetization   0.000 μB per formula unit
Relative energy among the computed polymorphs   341 meV/atom
Energy of formation   1.5625 eV/atom
E_tot   -3.294 eV per atom

a = 5.5291 Å, b = 5.5291 Å, c = 5.5291 Å
α = 90.00°, β = 90.00°, γ = 90.00°
Closest atoms and distances in Å follow each position.
Positions (direct):
Sr: 0.0000 0.0000 0.5000  2 Mn 2.76
Sr: 0.0000 0.5000 0.0000  2 Mn 2.76
Sr: 0.5000 0.0000 0.0000  2 Mn 2.76
Mn: 0.0000 0.0000 0.0000  6 Sr 2.76
Nb: 0.5000 0.5000 0.5000  12 Sr 3.91

---

# 3
# ZnReSi2

ZnReSi2 after structural relaxation (PBE, Alexandria).

Properties
Space-group type   Cmm2, No. 35
Magnetization   0.000 μB per formula unit
Formation energy without anion corrections   0.367 eV per atom
E_tot   -5.775 eV per atom

a = 3.1223 Å, b = 4.6174 Å, c = 8.1722 Å
α = 90.00°, β = 90.00°, γ = 90.00°
Closest atoms and distances in Å follow each position.
Positions (direct):
Zn: 0.0000 0.0000 0.0000  2 Si 2.63, 2 Re 2.68, 4 Zn 2.79
Zn: 0.5000 0.5000 0.0000  2 Si 2.63, 2 Re 2.68, 4 Zn 2.79
Re: 0.0000 0.5000 0.2660  2 Si 2.44, 2 Zn 2.68
Re: 0.5000 0.0000 0.2660  2 Si 2.44, 2 Zn 2.68
Si: 0.0000 0.0000 0.4948  2 Re 2.44, 2 Si 2.54
Si: 0.0000 0.5000 0.7403  6 Si 2.54-2.79, 2 Zn 2.63
Si: 0.5000 0.0000 0.7403  6 Si 2.54-2.79, 2 Zn 2.63
Si: 0.5000 0.5000 0.4948  2 Re 2.44, 2 Si 2.54

---

# 4
# LaAg2

LaAg2 after structural relaxation (PBE, Alexandria).

Properties
Space-group type   Pa-3, No. 205
Magnetization   0.000 μB per formula unit
Energy of formation   0.2861 eV/atom
E_tot   -3.257 eV per atom

a = 7.1873 Å, b = 7.1873 Å, c = 7.1873 Å
α = 90.00°, β = 90.00°, γ = 90.00°
Closest atoms and distances in Å follow each position.
Positions (direct):
La: 0.0000 0.0000 0.0000  6 Ag 3.02
La: 0.0000 0.5000 0.5000  6 Ag 3.02
La: 0.5000 0.0000 0.5000  6 Ag 3.02
La: 0.5000 0.5000 0.0000  6 Ag 3.02
Ag: 0.1090 0.6090 0.8910  1 Ag 2.71, 3 La 3.02
Ag: 0.1090 0.8910 0.3910  1 Ag 2.71, 3 La 3.02
Ag: 0.3910 0.1090 0.8910  1 Ag 2.71, 3 La 3.02
Ag: 0.3910 0.3910 0.3910  1 Ag 2.71, 3 La 3.02
Ag: 0.6090 0.6090 0.6090  1 Ag 2.71, 3 La 3.02
Ag: 0.6090 0.8910 0.1090  1 Ag 2.71, 3 La 3.02
Ag: 0.8910 0.1090 0.6090  1 Ag 2.71, 3 La 3.02
Ag: 0.8910 0.3910 0.1090  1 Ag 2.71, 3 La 3.02

---

# 5
# DyScSi4

DyScSi4 after structural relaxation (PBE, Alexandria).

Properties
Space-group type   Pbam, No. 55
Magnetization   0.000 μB per formula unit
Formation energy without anion corrections   -0.414 eV per atom
E_tot   -5.852 eV per atom

a = 8.1585 Å, b = 14.3525 Å, c = 3.8518 Å
α = 90.00°, β = 90.00°, γ = 90.00°
Closest atoms and distances in Å follow each position.
Positions (direct):
Dy: 0.1112 0.1355 0.0000  10 Si 3.07-3.23
Dy: 0.3888 0.6355 0.0000  10 Si 3.07-3.23
Dy: 0.6112 0.3645 0.0000  10 Si 3.07-3.23
Dy: 0.8888 0.8645 0.0000  10 Si 3.07-3.23
Sc: 0.1419 0.4135 0.0000  10 Si 2.74-2.90
Sc: 0.3581 0.9135 0.0000  10 Si 2.74-2.90
Sc: 0.6419 0.0865 0.0000  10 Si 2.74-2.90
Sc: 0.8581 0.5865 0.0000  10 Si 2.74-2.90
Si: 0.0272 0.2947 0.5000  3 Si 2.28-2.42
Si: 0.1193 0.5586 0.5000  3 Si 2.42-2.57
Si: 0.1295 0.9666 0.5000  3 Si 2.32-2.44
Si: 0.1890 0.8057 0.5000  3 Si 2.28-2.36
Si: 0.3110 0.3057 0.5000  3 Si 2.28-2.36
Si: 0.3705 0.4666 0.5000  3 Si 2.32-2.44
Si: 0.3807 0.0586 0.5000  3 Si 2.42-2.57
Si: 0.4728 0.7947 0.5000  3 Si 2.28-2.42
Si: 0.5272 0.2053 0.5000  3 Si 2.28-2.42
Si: 0.6193 0.9414 0.5000  3 Si 2.42-2.57
Si: 0.6295 0.5334 0.5000  3 Si 2.32-2.44
Si: 0.6890 0.6943 0.5000  3 Si 2.28-2.36
Si: 0.8110 0.1943 0.5000  3 Si 2.28-2.36
Si: 0.8705 0.0334 0.5000  3 Si 2.32-2.44
Si: 0.8807 0.4414 0.5000  3 Si 2.42-2.57
Si: 0.9728 0.7053 0.5000  3 Si 2.28-2.42

---

# 6
# Ho4TeIrSe2

Ho4TeIrSe2 after structural relaxation (PBE, Alexandria).

Properties
Space-group type   P2/m, No. 10
Magnetization   0.000 μB per formula unit
Formation energy without anion corrections   -1.372 eV per atom
E_tot   -6.033 eV per atom

a = 7.2908 Å, b = 4.0648 Å, c = 7.3164 Å
α = 90.00°, β = 108.44°, γ = 90.00°
Closest atoms and distances in Å follow each position.
Positions (direct):
Ho: 0.2297 0.0000 0.2168  2 Ir 2.79, 3 Se 2.89-3.12, 1 Te 3.05
Ho: 0.2485 0.5000 0.7799  1 Ir 2.78, 2 Se 2.87, 2 Te 3.04
Ho: 0.7515 0.5000 0.2201  1 Ir 2.78, 2 Se 2.87, 2 Te 3.04
Ho: 0.7703 0.0000 0.7832  2 Ir 2.79, 3 Se 2.89-3.12, 1 Te 3.05
Te: 0.0000 0.0000 0.5000  6 Ho 3.04-3.05
Ir: 0.0000 0.5000 0.0000  6 Ho 2.78-2.79
Se: 0.5000 0.0000 0.0000  6 Ho 2.87-2.89
Se: 0.5000 0.5000 0.5000  6 Ho 3.12-3.15

---

# 7
# NaNd2Hg5

NaNd2Hg5 after structural relaxation (PBE, Alexandria).

Properties
Space-group type   I4/mmm, No. 139
Magnetization   0.342 μB per formula unit
Energy of formation   -0.3192 eV/atom
E_tot   -1.865 eV per atom

a = 5.3374 Å, b = 5.3374 Å, c = 14.7969 Å
α = 90.00°, β = 90.00°, γ = 90.00°
Closest atoms and distances in Å follow each position.
Positions (direct):
Na: 0.0000 0.0000 0.0000  8 Hg 3.21
Na: 0.5000 0.5000 0.5000  8 Hg 3.21
Nd: 0.0000 0.0000 0.2632  9 Hg 3.17-3.50
Nd: 0.0000 0.0000 0.7368  9 Hg 3.17-3.50
Nd: 0.5000 0.5000 0.2368  9 Hg 3.17-3.50
Nd: 0.5000 0.5000 0.7632  9 Hg 3.17-3.50
Hg: 0.0000 0.0000 0.5000  8 Hg 3.21, 2 Nd 3.50
Hg: 0.0000 0.5000 0.1212  4 Nd 3.17-3.40, 2 Hg 3.21, 2 Na 3.21
Hg: 0.0000 0.5000 0.3788  4 Nd 3.17-3.40, 2 Hg 3.21, 2 Na 3.21
Hg: 0.0000 0.5000 0.6212  4 Nd 3.17-3.40, 2 Hg 3.21, 2 Na 3.21
Hg: 0.0000 0.5000 0.8788  4 Nd 3.17-3.40, 2 Hg 3.21, 2 Na 3.21
Hg: 0.5000 0.0000 0.1212  4 Nd 3.17-3.40, 2 Hg 3.21, 2 Na 3.21
Hg: 0.5000 0.0000 0.3788  4 Nd 3.17-3.40, 2 Hg 3.21, 2 Na 3.21
Hg: 0.5000 0.0000 0.6212  4 Nd 3.17-3.40, 2 Hg 3.21, 2 Na 3.21
Hg: 0.5000 0.0000 0.8788  4 Nd 3.17-3.40, 2 Hg 3.21, 2 Na 3.21
Hg: 0.5000 0.5000 0.0000  8 Hg 3.21, 2 Nd 3.50

---

# 8
# Y3Th4Se8

Y3Th4Se8 after structural relaxation (PBE, Alexandria).

Properties
Space-group type   R-3m, No. 166
Magnetization   0.005 μB per formula unit
Formation energy without anion corrections   -1.372 eV per atom
E_tot   -6.502 eV per atom

a = 9.2500 Å, b = 9.2500 Å, c = 9.2500 Å
α = 50.32°, β = 50.32°, γ = 50.32°
Closest atoms and distances in Å follow each position.
Positions (direct):
Y: 0.0000 0.5000 0.5000  6 Se 2.78-2.93
Y: 0.5000 0.0000 0.5000  6 Se 2.78-2.93
Y: 0.5000 0.5000 0.0000  6 Se 2.78-2.93
Th: 0.0000 0.0000 0.0000  6 Se 3.00
Th: 0.1509 0.1509 0.1509  4 Se 2.81-2.92
Th: 0.5000 0.5000 0.5000  6 Se 3.08
Th: 0.8491 0.8491 0.8491  4 Se 2.81-2.92
Se: 0.2491 0.2491 0.7360  3 Th 2.92-3.08, 2 Y 2.93
Se: 0.2491 0.7360 0.2491  3 Th 2.92-3.08, 2 Y 2.93
Se: 0.2640 0.7509 0.7509  3 Th 2.92-3.08, 2 Y 2.93
Se: 0.2669 0.2669 0.2669  3 Y 2.78, 1 Th 2.81
Se: 0.7331 0.7331 0.7331  3 Y 2.78, 1 Th 2.81
Se: 0.7360 0.2491 0.2491  3 Th 2.92-3.08, 2 Y 2.93
Se: 0.7509 0.2640 0.7509  3 Th 2.92-3.08, 2 Y 2.93
Se: 0.7509 0.7509 0.2640  3 Th 2.92-3.08, 2 Y 2.93

---

# 9
# NaThPSe

NaThPSe after structural relaxation (PBE, Alexandria).

Properties
Space-group type   R3m, No. 160
Magnetization   0.000 μB per formula unit
Formation energy without anion corrections   -1.306 eV per atom
E_tot   -5.714 eV per atom

a = 4.2746 Å, b = 4.2746 Å, c = 20.6367 Å
α = 90.00°, β = 90.00°, γ = 120.00°
Closest atoms and distances in Å follow each position.
Positions (direct):
Na: 0.0000 0.0000 0.0000  3 P 3.06, 3 Se 3.14
Na: 0.3333 0.6667 0.6667  3 P 3.06, 3 Se 3.14
Na: 0.6667 0.3333 0.3333  3 P 3.06, 3 Se 3.14
Th: 0.0000 0.0000 0.4877  3 P 2.82, 3 Se 3.02
Th: 0.3333 0.6667 0.1544  3 P 2.82, 3 Se 3.02
Th: 0.6667 0.3333 0.8210  3 P 2.82, 3 Se 3.02
P: 0.0000 0.0000 0.7545  3 Th 2.82, 3 Na 3.06
P: 0.3333 0.6667 0.4212  3 Th 2.82, 3 Na 3.06
P: 0.6667 0.3333 0.0878  3 Th 2.82, 3 Na 3.06
Se: 0.0000 0.0000 0.2391  3 Th 3.02, 3 Na 3.14
Se: 0.3333 0.6667 0.9058  3 Th 3.02, 3 Na 3.14
Se: 0.6667 0.3333 0.5724  3 Th 3.02, 3 Na 3.14

---

# 10
# Zn2Pb2F7

Zn2Pb2F7 after structural relaxation (PBE, Alexandria).

Properties
Space-group type   C2/m, No. 12
Magnetization   0.000 μB per formula unit
Relative energy among the computed polymorphs   0 meV/atom
Formation energy without anion corrections   -2.095 eV per atom
E_tot   -4.192 eV per atom

a = 5.5289 Å, b = 5.5289 Å, c = 5.9542 Å
α = 92.06°, β = 92.06°, γ = 84.40°
Closest atoms and distances in Å follow each position.
Positions (direct):
Zn: 0.2428 0.2428 0.4728  4 F 1.91-2.00
Zn: 0.7572 0.7572 0.5272  4 F 1.91-2.00
Pb: 0.2619 0.7381 0.0000  6 F 2.53-2.63
Pb: 0.7381 0.2619 0.0000  6 F 2.53-2.63
F: 0.0000 0.0000 0.5000  2 Zn 2.00
F: 0.0644 0.4654 0.2557  1 Zn 1.99
F: 0.4171 0.4171 0.6972  1 Zn 1.91
F: 0.4654 0.0644 0.2557  1 Zn 1.99
F: 0.5346 0.9356 0.7443  1 Zn 1.99
F: 0.5829 0.5829 0.3028  1 Zn 1.91
F: 0.9356 0.5346 0.7443  1 Zn 1.99

---

# 11
# U2GaSi

U2GaSi after structural relaxation (PBE, Alexandria).

Properties
Space-group type   P4/mmm, No. 123
Magnetization   2.559 μB per formula unit
Formation energy without anion corrections   -0.124 eV per atom
E_tot   -7.880 eV per atom

a = 3.9410 Å, b = 3.9410 Å, c = 4.6940 Å
α = 90.00°, β = 90.00°, γ = 90.00°
Closest atoms and distances in Å follow each position.
Positions (direct):
U: 0.0000 0.5000 0.0000  4 U 2.79, 4 Si 3.06, 4 Ga 3.06
U: 0.5000 0.0000 0.0000  4 U 2.79, 4 Si 3.06, 4 Ga 3.06
Ga: 0.0000 0.0000 0.5000  4 Si 2.79, 8 U 3.06
Si: 0.5000 0.5000 0.5000  4 Ga 2.79, 8 U 3.06

---

# 12
# KPmAu2I6

KPmAu2I6 after structural relaxation (PBE, Alexandria).

Properties
Space-group type   P-1, No. 2
Magnetization   0.000 μB per formula unit
Formation energy without anion corrections   -0.818 eV per atom
E_tot   -2.988 eV per atom

a = 7.9652 Å, b = 7.9708 Å, c = 9.4832 Å
α = 65.22°, β = 65.24°, γ = 60.03°
Closest atoms and distances in Å follow each position.
Positions (direct):
K: 0.0000 0.0000 0.0000  6 I 3.57-3.58
Pm: 0.5000 0.5000 0.5000  6 I 3.12
Au: 0.2370 0.2367 0.2885  3 I 2.72
Au: 0.7630 0.7633 0.7115  3 I 2.72
I: 0.1095 0.7387 0.7243  1 Au 2.72
I: 0.2617 0.5720 0.2753  1 Au 2.72
I: 0.4277 0.1097 0.7247  1 Au 2.72
I: 0.5723 0.8903 0.2753  1 Au 2.72
I: 0.7383 0.4280 0.7247  1 Au 2.72
I: 0.8905 0.2613 0.2757  1 Au 2.72